Entry from Alexandria via LeMat-Bulk: a relaxed SrAcRh4 crystal (PBE).

Output
ΔH_f (0 K) (eV per atom): -0.438
Magnetization (μB/atom): 0.0000
Calculated density (g/cm³): 10.129

```
SrAcRh4
1.0
0.000 3.905 3.905
3.905 0.000 3.905
3.905 3.905 0.000
Sr Ac Rh
1 1 4
direct
0.000 0.000 0.000
0.750 0.750 0.750
0.375 0.375 0.375
0.375 0.375 0.876
0.375 0.876 0.375
0.876 0.375 0.375
```